Entry 1:
DFT (PBE) results for crystalline SmHgPt2 at its relaxed geometry.

Computed properties:
formation enthalpy at 0 K: -619 meV per atom
DOS(E_F): 2.60 states/eV/f.u.
energy relative to the lowest polymorph listed for this composition: 5.2 kJ per mole of atoms

Cell: 4.5828 4.5828 3.8643 Å, 90.00 90.00 90.00°
With the nearest neighbours (Å) after each atom.
Fractional positions:
Sm: 0.0000 0.0000 0.0000  8 Pt 3.00, 4 Hg 3.24
Hg: 0.5000 0.5000 0.0000  8 Pt 3.00, 4 Sm 3.24
Pt: 0.0000 0.5000 0.5000  4 Hg 3.00, 4 Sm 3.00, 4 Pt 3.24
Pt: 0.5000 0.0000 0.5000  4 Hg 3.00, 4 Sm 3.00, 4 Pt 3.24

---

Entry 2:
DFT (PBE) results for crystalline Na2VS4 at its relaxed geometry.

Computed properties:
DOS(E_F): 5.62 states/eV/f.u.
energy relative to the lowest polymorph listed for this composition: 10.0 kJ per mole of atoms

Cell: 7.8670 7.8670 7.8670 Å, 145.89 145.89 49.01°
With the nearest neighbours (Å) after each atom.
Fractional positions:
Na: 0.1447 0.1447 0.0000  5 S 2.78-3.10
Na: 0.8553 0.8553 0.0000  5 S 2.78-3.10
V: 0.5000 0.5000 0.0000  6 S 2.31
S: 0.0000 0.5000 0.5000  2 V 2.31
S: 0.3388 0.3388 0.0000  1 V 2.31
S: 0.5000 0.0000 0.5000  2 V 2.31
S: 0.6612 0.6612 0.0000  1 V 2.31

---

Entry 3:
DFT (PBE) results for crystalline CaBiAs2Os at its relaxed geometry.

Computed properties:
formation enthalpy at 0 K: 1667 meV per atom
DOS(E_F): 2.95 states/eV/f.u.

Cell: 5.3965 5.3965 5.8490 Å, 90.00 90.00 90.00°
With the nearest neighbours (Å) after each atom.
Fractional positions:
Ca: 0.0000 0.0000 0.0000  2 Bi 2.92
Bi: 0.0000 0.0000 0.5000  4 As 2.70, 2 Ca 2.92
As: 0.0000 0.5000 0.5000  2 Bi 2.70
As: 0.5000 0.0000 0.5000  2 Bi 2.70
Os: 0.5000 0.5000 0.0000  4 Ca 3.82, 8 As 3.98

---

Entry 4:
DFT (PBE) results for crystalline CuAs at its relaxed geometry.

Computed properties:
formation enthalpy at 0 K: 157 meV per atom
DOS(E_F): 0.92 states/eV/f.u.

Cell: 3.9617 3.9617 3.9617 Å, 48.53 48.53 48.53°
With the nearest neighbours (Å) after each atom.
Fractional positions:
Cu: 0.0000 0.0000 0.0000  6 As 2.56
As: 0.5000 0.5000 0.5000  6 Cu 2.56

---

Entry 5:
DFT (PBE) results for crystalline Mg2BeCd at its relaxed geometry.

Computed properties:
formation enthalpy at 0 K: 197 meV per atom
DOS(E_F): 1.06 states/eV/f.u.
energy relative to the lowest polymorph listed for this composition: 4.6 kJ per mole of atoms

Cell: 3.0672 3.0672 7.8467 Å, 90.00 90.00 90.00°
With the nearest neighbours (Å) after each atom.
Fractional positions:
Mg: 0.0000 0.0000 0.0000  8 Mg 3.07-3.22, 4 Cd 3.13
Mg: 0.5000 0.5000 0.3039  4 Be 2.73
Be: 0.0000 0.0000 0.5153  4 Cd 2.67, 4 Mg 2.73
Cd: 0.5000 0.5000 0.7126  4 Be 2.67

---

Entry 6:
DFT (PBE) results for crystalline Pr3In at its relaxed geometry.

Computed properties:
formation enthalpy at 0 K: -235 meV per atom
DOS(E_F): 4.76 states/eV/f.u.

Cell: 6.7727 6.7727 6.7727 Å, 148.40 63.91 126.02°
With the nearest neighbours (Å) after each atom.
Fractional positions:
Pr: 0.0000 0.0000 0.0000  4 In 3.39-3.78, 8 Pr 3.47-3.72
Pr: 0.1412 0.3692 0.7720  3 In 3.37-3.73, 9 Pr 3.47-3.72
Pr: 0.5971 0.3692 0.2280  3 In 3.37-3.73, 9 Pr 3.47-3.72
In: 0.5369 0.0369 0.5000  8 Pr 3.37-3.73, 2 In 3.69

---

Entry 7:
DFT (PBE) results for crystalline LiAg2SbS4 at its relaxed geometry.

Computed properties:
total DFT energy (no corrections): -31.07 eV per formula unit

Cell: 6.9894 6.9894 6.9894 Å, 130.83 130.83 72.08°
With the nearest neighbours (Å) after each atom.
Fractional positions:
Li: 0.0000 0.0000 0.0000  4 S 2.45
Ag: 0.2500 0.7500 0.5000  4 S 2.59
Ag: 0.5000 0.5000 0.0000  4 S 2.55
Sb: 0.7500 0.2500 0.5000  4 S 2.40
S: 0.1023 0.1312 0.4845  1 Sb 2.40, 1 Li 2.45, 2 Ag 2.55-2.59
S: 0.3822 0.8977 0.0289  1 Sb 2.40, 1 Li 2.45, 2 Ag 2.55-2.59
S: 0.6467 0.6178 0.5155  1 Sb 2.40, 1 Li 2.45, 2 Ag 2.55-2.59
S: 0.8688 0.3533 0.9711  1 Sb 2.40, 1 Li 2.45, 2 Ag 2.55-2.59

---

Entry 8:
DFT (PBE) results for crystalline Cs2Ga2Au3 at its relaxed geometry.

Computed properties:
formation enthalpy at 0 K: -262 meV per atom
DOS(E_F): 3.77 states/eV/f.u.
energy relative to the lowest polymorph listed for this composition: 0.0 kJ per mole of atoms

Cell: 4.6889 7.2522 8.0841 Å, 107.14 106.66 90.28°
With the nearest neighbours (Å) after each atom.
Fractional positions:
Cs: 0.1085 0.2978 0.2228  3 Au 3.49-3.74
Cs: 0.8915 0.7022 0.7772  3 Au 3.49-3.74
Ga: 0.3566 0.2123 0.7120  4 Au 2.54-2.71
Ga: 0.6434 0.7877 0.2880  4 Au 2.54-2.71
Au: 0.2102 0.8879 0.4213  3 Ga 2.57-2.71
Au: 0.5000 0.5000 0.0000  2 Ga 2.54
Au: 0.7898 0.1121 0.5787  3 Ga 2.57-2.71

---

Entry 9:
DFT (PBE) results for crystalline ZrNi3Te at its relaxed geometry.

Computed properties:
DOS(E_F): 3.10 states/eV/f.u.
energy relative to the lowest polymorph listed for this composition: 44.3 kJ per mole of atoms

Cell: 4.6559 4.6559 4.6559 Å, 90.00 90.00 90.00°
With the nearest neighbours (Å) after each atom.
Fractional positions:
Zr: 0.0000 0.0000 0.0000  6 Ni 2.33
Ni: 0.0000 0.0000 0.5000  2 Zr 2.33
Ni: 0.0000 0.5000 0.0000  2 Zr 2.33
Ni: 0.5000 0.0000 0.0000  2 Zr 2.33
Te: 0.5000 0.5000 0.5000  12 Ni 3.29

---

Entry 10:
DFT (PBE) results for crystalline AgSb4 at its relaxed geometry.

Computed properties:
DOS(E_F): 5.12 states/eV/f.u.
energy relative to the lowest polymorph listed for this composition: 56.2 kJ per mole of atoms

Cell: 5.3536 5.3536 5.3536 Å, 90.00 90.00 90.00°
With the nearest neighbours (Å) after each atom.
Fractional positions:
Ag: 0.0000 0.0000 0.0000  6 Sb 2.68
Sb: 0.0000 0.0000 0.5000  2 Ag 2.68
Sb: 0.0000 0.5000 0.0000  2 Ag 2.68
Sb: 0.5000 0.0000 0.0000  2 Ag 2.68
Sb: 0.5000 0.5000 0.5000  12 Sb 3.79

---

Entry 11:
DFT (PBE) results for crystalline YZn2Tc at its relaxed geometry.

Computed properties:
formation enthalpy at 0 K: 280 meV per atom
DOS(E_F): 4.25 states/eV/f.u.
energy relative to the lowest polymorph listed for this composition: 35.8 kJ per mole of atoms

Cell: 8.3814 8.3814 8.3814 Å, 22.86 22.86 22.86°
With the nearest neighbours (Å) after each atom.
Fractional positions:
Y: 0.0000 0.0000 0.0000  3 Tc 2.84, 3 Zn 3.11
Zn: 0.5084 0.5084 0.5084  3 Tc 2.62, 3 Zn 2.66
Zn: 0.7665 0.7665 0.7665  3 Zn 2.66
Tc: 0.2478 0.2478 0.2478  3 Zn 2.62, 3 Y 2.84

---

Entry 12:
DFT (PBE) results for crystalline LiNpBi2O6 at its relaxed geometry.

Computed properties:
DOS(E_F): 7.41 states/eV/f.u.
total DFT energy (no corrections): -71.25 eV per formula unit

Cell: 6.0536 6.0536 6.0536 Å, 58.29 58.29 58.29°
With the nearest neighbours (Å) after each atom.
Fractional positions:
Li: 0.0000 0.0000 0.0000  3 O 2.17
Np: 0.4823 0.4823 0.4823  6 O 2.15-2.16
Bi: 0.2713 0.2713 0.2713  6 O 2.41-2.43
Bi: 0.7793 0.7793 0.7793  6 O 2.35-2.46
O: 0.1315 0.6835 0.3514  1 Np 2.16, 1 Li 2.17, 1 Bi 2.41
O: 0.2014 0.6102 0.8373  1 Np 2.15, 1 Bi 2.35
O: 0.3514 0.1315 0.6835  1 Np 2.16, 1 Li 2.17, 1 Bi 2.41
O: 0.6102 0.8373 0.2014  1 Np 2.15, 1 Bi 2.35
O: 0.6835 0.3514 0.1315  1 Np 2.16, 1 Li 2.17, 1 Bi 2.41
O: 0.8373 0.2014 0.6102  1 Np 2.15, 1 Bi 2.35

---

Entry 13:
DFT (PBE) results for crystalline Ag2Sb at its relaxed geometry.

Computed properties:
DOS(E_F): 0.71 states/eV/f.u.
energy relative to the lowest polymorph listed for this composition: 2.0 kJ per mole of atoms

Cell: 7.7610 7.7610 4.8917 Å, 90.00 90.00 154.69°
With the nearest neighbours (Å) after each atom.
Fractional positions:
Ag: 0.0635 0.9365 0.7500  4 Ag 2.98-3.11, 6 Sb 3.06-3.13
Ag: 0.2746 0.7254 0.2500  6 Ag 2.98-3.07, 4 Sb 3.01-3.02
Ag: 0.7254 0.2746 0.7500  6 Ag 2.98-3.07, 4 Sb 3.01-3.02
Ag: 0.9365 0.0635 0.2500  4 Ag 2.98-3.11, 6 Sb 3.06-3.13
Sb: 0.3901 0.6099 0.7500  10 Ag 3.01-3.13
Sb: 0.6099 0.3901 0.2500  10 Ag 3.01-3.13

---

Entry 14:
DFT (PBE) results for crystalline NbGe3As at its relaxed geometry.

Computed properties:
formation enthalpy at 0 K: 1183 meV per atom
DOS(E_F): 8.90 states/eV/f.u.

Cell: 4.8398 4.8398 4.8398 Å, 90.00 90.00 90.00°
With the nearest neighbours (Å) after each atom.
Fractional positions:
Nb: 0.0000 0.0000 0.0000  12 Ge 3.42
Ge: 0.0000 0.5000 0.5000  2 As 2.42
Ge: 0.5000 0.0000 0.5000  2 As 2.42
Ge: 0.5000 0.5000 0.0000  2 As 2.42
As: 0.5000 0.5000 0.5000  6 Ge 2.42

---

Entry 15:
DFT (PBE) results for crystalline PuCuNi5 at its relaxed geometry.

Computed properties:
formation enthalpy at 0 K: -92 meV per atom
DOS(E_F): 17.95 states/eV/f.u.

Cell: 7.8145 4.8333 9.8716 Å, 90.00 90.00 90.00°
With the nearest neighbours (Å) after each atom.
Fractional positions:
Pu: 0.2419 0.2500 0.0589  7 Ni 2.73-3.03, 1 Cu 3.04
Pu: 0.2581 0.7500 0.5589  7 Ni 2.73-3.03, 1 Cu 3.04
Pu: 0.7419 0.2500 0.4411  7 Ni 2.73-3.03, 1 Cu 3.04
Pu: 0.7581 0.7500 0.9411  7 Ni 2.73-3.03, 1 Cu 3.04
Cu: 0.1443 0.7500 0.8535  8 Ni 2.48-2.62
Cu: 0.3557 0.2500 0.3535  8 Ni 2.48-2.62
Cu: 0.6443 0.7500 0.6465  8 Ni 2.48-2.62
Cu: 0.8557 0.2500 0.1465  8 Ni 2.48-2.62
Ni: 0.0590 0.7500 0.0956  4 Ni 2.41-2.54, 1 Cu 2.48
Ni: 0.0654 0.0056 0.3099  7 Ni 2.36-2.48, 2 Cu 2.58-2.59
Ni: 0.0654 0.4944 0.3099  7 Ni 2.36-2.48, 2 Cu 2.58-2.59
Ni: 0.1044 0.2500 0.5193  5 Ni 2.40-2.48, 1 Cu 2.56
Ni: 0.1858 0.2500 0.7552  7 Ni 2.37-2.54, 2 Cu 2.62
Ni: 0.3142 0.7500 0.2552  7 Ni 2.37-2.54, 2 Cu 2.62
Ni: 0.3956 0.7500 0.0193  5 Ni 2.40-2.48, 1 Cu 2.56
Ni: 0.4346 0.5056 0.8099  7 Ni 2.36-2.48, 2 Cu 2.58-2.59
Ni: 0.4346 0.9944 0.8099  7 Ni 2.36-2.48, 2 Cu 2.58-2.59
Ni: 0.4410 0.2500 0.5956  4 Ni 2.41-2.54, 1 Cu 2.48
Ni: 0.5590 0.7500 0.4044  4 Ni 2.41-2.54, 1 Cu 2.48
Ni: 0.5654 0.0056 0.1901  7 Ni 2.36-2.48, 2 Cu 2.58-2.59
Ni: 0.5654 0.4944 0.1901  7 Ni 2.36-2.48, 2 Cu 2.58-2.59
Ni: 0.6044 0.2500 0.9807  5 Ni 2.40-2.48, 1 Cu 2.56
Ni: 0.6858 0.2500 0.7448  7 Ni 2.37-2.54, 2 Cu 2.62
Ni: 0.8142 0.7500 0.2448  7 Ni 2.37-2.54, 2 Cu 2.62
Ni: 0.8956 0.7500 0.4807  5 Ni 2.40-2.48, 1 Cu 2.56
Ni: 0.9346 0.5056 0.6901  7 Ni 2.36-2.48, 2 Cu 2.58-2.59
Ni: 0.9346 0.9944 0.6901  7 Ni 2.36-2.48, 2 Cu 2.58-2.59
Ni: 0.9410 0.2500 0.9044  4 Ni 2.41-2.54, 1 Cu 2.48

---

Entry 16:
DFT (PBE) results for crystalline Ac2PN at its relaxed geometry.

Computed properties:
energy relative to the lowest polymorph listed for this composition: 2.5 kJ per mole of atoms

Cell: 4.8117 4.8117 9.4242 Å, 92.09 92.09 89.69°
With the nearest neighbours (Å) after each atom.
Fractional positions:
Ac: 0.2362 0.7638 0.0000  4 N 2.49-2.66
Ac: 0.2533 0.2533 0.6521  1 N 2.39
Ac: 0.7467 0.7467 0.3479  1 N 2.39
Ac: 0.7638 0.2362 0.0000  4 N 2.49-2.66
P: 0.2177 0.2177 0.3063  7 Ac 3.26-3.61
P: 0.7823 0.7823 0.6937  7 Ac 3.26-3.61
N: 0.2764 0.2764 0.9058  5 Ac 2.39-2.66
N: 0.7236 0.7236 0.0942  5 Ac 2.39-2.66

---

Entry 17:
DFT (PBE) results for crystalline BaHgPb11 at its relaxed geometry.

Computed properties:
formation enthalpy at 0 K: -89 meV per atom
DOS(E_F): 5.79 states/eV/f.u.

Cell: 8.7010 8.7010 8.7320 Å, 97.71 97.71 135.61°
With the nearest neighbours (Å) after each atom.
Fractional positions:
Ba: 0.0000 0.0000 0.0000  18 Pb 4.06-4.37, 2 Hg 4.44
Hg: 0.5000 0.5000 0.5000  10 Pb 3.25-3.48
Pb: 0.0000 0.0000 0.5000  2 Hg 3.29, 8 Pb 3.35-3.48
Pb: 0.0000 0.5000 0.0000  10 Pb 3.29-3.59
Pb: 0.0060 0.3577 0.3565  8 Pb 3.35-3.73, 1 Hg 3.48
Pb: 0.2900 0.5042 0.7800  1 Hg 3.25, 7 Pb 3.35-3.63
Pb: 0.3577 0.0060 0.3565  8 Pb 3.35-3.73, 1 Hg 3.48
Pb: 0.4958 0.7100 0.2200  1 Hg 3.25, 7 Pb 3.35-3.63
Pb: 0.5000 0.0000 0.0000  10 Pb 3.29-3.59
Pb: 0.5042 0.2900 0.7800  1 Hg 3.25, 7 Pb 3.35-3.63
Pb: 0.6423 0.9940 0.6435  8 Pb 3.35-3.73, 1 Hg 3.48
Pb: 0.7100 0.4958 0.2200  1 Hg 3.25, 7 Pb 3.35-3.63
Pb: 0.9940 0.6423 0.6435  8 Pb 3.35-3.73, 1 Hg 3.48

---

Entry 18:
DFT (PBE) results for crystalline Ni5Rh at its relaxed geometry.

Computed properties:
formation enthalpy at 0 K: 17 meV per atom
DOS(E_F): 8.57 states/eV/f.u.

Cell: 5.6699 5.6699 3.5911 Å, 90.00 90.00 143.05°
With the nearest neighbours (Å) after each atom.
Fractional positions:
Ni: 0.0000 0.0000 0.0000  4 Rh 2.54, 8 Ni 2.55-2.56
Ni: 0.1687 0.8313 0.5000  10 Ni 2.50-2.55, 2 Rh 2.55
Ni: 0.3299 0.6701 0.0000  10 Ni 2.49-2.56, 2 Rh 2.56
Ni: 0.6701 0.3299 0.0000  10 Ni 2.49-2.56, 2 Rh 2.56
Ni: 0.8313 0.1687 0.5000  10 Ni 2.50-2.55, 2 Rh 2.55
Rh: 0.5000 0.5000 0.5000  12 Ni 2.54-2.56

---

Entry 19:
DFT (PBE) results for crystalline Ho8Al3Sn2 at its relaxed geometry.

Computed properties:
formation enthalpy at 0 K: -236 meV per atom
DOS(E_F): 11.68 states/eV/f.u.

Cell: 8.9636 8.9636 5.3576 Å, 90.00 90.00 122.62°
With the nearest neighbours (Å) after each atom.
Fractional positions:
Ho: 0.1046 0.8954 0.0000  4 Al 3.14-3.26, 2 Sn 3.26, 2 Ho 3.29-3.40
Ho: 0.1785 0.4020 0.5000  2 Sn 3.05-3.16, 3 Al 3.05-3.22, 2 Ho 3.40
Ho: 0.3209 0.6791 0.0000  2 Sn 3.09, 2 Al 3.19, 5 Ho 3.40
Ho: 0.4020 0.1785 0.5000  2 Sn 3.05-3.16, 3 Al 3.05-3.22, 2 Ho 3.40
Ho: 0.5980 0.8215 0.5000  2 Sn 3.05-3.16, 3 Al 3.05-3.22, 2 Ho 3.40
Ho: 0.6791 0.3209 0.0000  2 Sn 3.09, 2 Al 3.19, 5 Ho 3.40
Ho: 0.8215 0.5980 0.5000  2 Sn 3.05-3.16, 3 Al 3.05-3.22, 2 Ho 3.40
Ho: 0.8954 0.1046 0.0000  4 Al 3.14-3.26, 2 Sn 3.26, 2 Ho 3.29-3.40
Al: 0.0000 0.0000 0.5000  8 Ho 3.05-3.14
Al: 0.3272 0.3272 0.0000  1 Al 2.97, 8 Ho 3.19-3.26
Al: 0.6728 0.6728 0.0000  1 Al 2.97, 8 Ho 3.19-3.26
Sn: 0.2232 0.7768 0.5000  8 Ho 3.05-3.26
Sn: 0.7768 0.2232 0.5000  8 Ho 3.05-3.26

---

Entry 20:
DFT (PBE) results for crystalline BaCaTe2 at its relaxed geometry.

Computed properties:
DOS(E_F): 0.00 states/eV/f.u.
energy relative to the lowest polymorph listed for this composition: 16.9 kJ per mole of atoms

Cell: 5.0049 5.0049 8.3811 Å, 90.00 90.00 120.00°
With the nearest neighbours (Å) after each atom.
Fractional positions:
Ba: 0.0000 0.0000 0.0000  6 Te 3.36-3.75
Ca: 0.3333 0.6667 0.4429  4 Te 2.95-3.18
Te: 0.3333 0.6667 0.7949  1 Ca 2.95
Te: 0.6667 0.3333 0.2848  3 Ca 3.18